A geometry-optimized LiV3OF11 structure, computed with GGA+U.

Results
M_tot   6.00 μB/cell
Space-group type   P-1, No. 2
E   -183.5 eV per cell
Excess energy over the best structure of this formula in the dataset   0.018 eV/atom

```
LiV3OF11
1.0
5.2495 0.0066 0.0000
0.1299 5.3043 0.0444
0.1250 2.7326 16.5408
Li V O F
2 6 2 22
Cartesian
4.0852 4.1343 13.6892 Li
1.4193 3.9092 2.8959 Li
0.1711 5.3590 10.7641 V
2.6897 2.6554 0.0222 V
2.7925 5.3333 5.8360 V
0.0000 0.0000 0.0000 V
5.3333 2.6844 5.8210 V
2.7119 2.7102 10.7491 V
3.8681 1.3126 0.2302 O
1.6363 6.7308 16.3550 O
1.1192 3.6967 11.2350 F
3.7297 4.3350 10.4034 F
0.6976 5.2127 9.0708 F
2.7246 4.9764 14.7589 F
2.2652 5.1856 4.0887 F
0.1269 4.8228 1.8410 F
3.2951 5.4321 7.5129 F
4.8970 5.4155 12.5489 F
1.1703 6.3164 6.2112 F
1.8386 6.4012 11.2179 F
1.2611 1.4278 0.4416 F
4.2433 6.6157 16.1436 F
3.6659 1.6423 5.3672 F
4.3341 1.7271 10.3739 F
0.6074 2.6279 4.0363 F
2.2093 2.6114 9.0723 F
5.3775 3.2206 14.7442 F
3.2392 2.8578 12.4965 F
2.7798 3.0670 1.8263 F
4.8068 2.8307 7.5144 F
1.7747 3.7085 6.1818 F
4.3853 4.3467 5.3502 F
```